[1]
DFT (SCAN) results for a PBEsol-optimized structure of ZnGeAs2Pt.

Output
E = -27.7557 eV/atom
symmetry = P4/mmm, No. 123
formation enthalpy at 0 K = 0.88 eV/atom

abc: 4.616 4.895 4.895
angles: 90.00 90.00 90.00
Sites, in units of the cell vectors:
Zn: 0.500 0.500 0.500
As: 0.000 0.500 0.000
As: 0.000 0.000 0.500
Pt: 0.500 0.000 0.000
Ge: 0.000 0.000 0.000


[2]
DFT (SCAN) results for a PBEsol-optimized structure of GeAsRh3.

Output
E = -27.4755 eV/atom
symmetry = Pm-3m, No. 221
formation enthalpy at 0 K = 0.64 eV/atom

abc: 4.472 4.472 4.472
angles: 90.00 90.00 90.00
Sites, in units of the cell vectors:
Ge: 0.000 0.000 0.000
Rh: 0.000 0.000 0.500
Rh: 0.000 0.500 0.000
Rh: 0.500 0.000 0.000
As: 0.500 0.500 0.500


[3]
DFT (SCAN) results for a PBEsol-optimized structure of GeAsRu3.

Output
E = -27.7321 eV/atom
symmetry = Pm-3m, No. 221
formation enthalpy at 0 K = 1.02 eV/atom

abc: 4.450 4.450 4.450
angles: 90.00 90.00 90.00
Sites, in units of the cell vectors:
As: 0.000 0.000 0.000
Ge: 0.500 0.500 0.500
Ru: 0.000 0.000 0.500
Ru: 0.000 0.500 0.000
Ru: 0.500 0.000 0.000


[4]
DFT (SCAN) results for a PBEsol-optimized structure of GeAsRuSe2.

Output
energy relative to the elements, uncorrected = 1.216 eV/atom
E = -21.6365 eV/atom
symmetry = P4/mmm, No. 123

abc: 4.700 4.741 4.741
angles: 90.00 90.00 90.00
Last column: magnetic moment on the atom in μB.
Sites, in units of the cell vectors:
As: 0.500 0.000 0.000  0.23
Ge: 0.000 0.000 0.000  0.01
Se: 0.000 0.000 0.500  0.00
Se: 0.000 0.500 0.000  0.00
Ru: 0.500 0.500 0.500  -2.43


[5]
DFT (SCAN) results for a PBEsol-optimized structure of GeAs2RuSe.

Output
energy relative to the elements, uncorrected = 1.311 eV/atom
E = -21.5642 eV/atom
symmetry = P4/mmm, No. 123

abc: 4.671 4.671 4.758
angles: 90.00 90.00 90.00
Last column: magnetic moment on the atom in μB.
Sites, in units of the cell vectors:
Ru: 0.500 0.500 0.500  2.08
As: 0.500 0.000 0.000  -0.12
As: 0.000 0.500 0.000  -0.12
Ge: 0.000 0.000 0.000  -0.02
Se: 0.000 0.000 0.500  -0.06


[6]
DFT (SCAN) results for a PBEsol-optimized structure of Ge2AsRuW.

Output
E = -31.2753 eV/atom
symmetry = P4/mmm, No. 123
formation enthalpy at 0 K = 1.30 eV/atom

abc: 4.682 4.651 4.651
angles: 90.00 90.00 90.00
Last column: magnetic moment on the atom in μB.
Sites, in units of the cell vectors:
As: 0.500 0.000 0.000  -0.02
W: 0.500 0.500 0.500  2.83
Ru: 0.000 0.000 0.000  0.10
Ge: 0.000 0.000 0.500  0.01
Ge: 0.000 0.500 0.000  0.01


[7]
DFT (SCAN) results for a PBEsol-optimized structure of ZnGeAsRu2.

Output
E = -23.6105 eV/atom
symmetry = P4/mmm, No. 123
formation enthalpy at 0 K = 0.88 eV/atom

abc: 4.483 4.519 4.519
angles: 90.00 90.00 90.00
Sites, in units of the cell vectors:
Zn: 0.500 0.000 0.000
Ru: 0.000 0.500 0.000
Ru: 0.000 0.000 0.500
As: 0.000 0.000 0.000
Ge: 0.500 0.500 0.500


[8]
DFT (SCAN) results for a PBEsol-optimized structure of GeAsS3.

Output
energy relative to the elements, uncorrected = 0.664 eV/atom
E = -12.9689 eV/atom
symmetry = Pm-3m, No. 221

abc: 4.590 4.590 4.590
angles: 90.00 90.00 90.00
Sites, in units of the cell vectors:
S: 0.000 0.000 0.500
S: 0.000 0.500 0.000
S: 0.500 0.000 0.000
Ge: 0.000 0.000 0.000
As: 0.500 0.500 0.500


[9]
DFT (SCAN) results for a PBEsol-optimized structure of GeAs2S.

Output
energy relative to the elements, uncorrected = 0.527 eV/atom
E = -16.7476 eV/atom
symmetry = Fm-3m, No. 225

abc: 4.618 4.618 4.618
angles: 60.00 60.00 60.00
Sites, in units of the cell vectors:
S: 0.000 0.000 0.000
As: 0.250 0.250 0.250
As: 0.750 0.750 0.750
Ge: 0.500 0.500 0.500


[10]
DFT (SCAN) results for a PBEsol-optimized structure of GeAsS2.

Output
energy relative to the elements, uncorrected = 0.087 eV/atom
E = -14.5461 eV/atom
symmetry = R-3m, No. 166

abc: 3.442 3.442 8.058
angles: 77.67 77.67 60.00
Sites, in units of the cell vectors:
S: 0.896 0.896 0.312
S: 0.104 0.104 0.688
As: 0.000 0.000 0.000
Ge: 0.500 0.500 0.500


[11]
DFT (SCAN) results for a PBEsol-optimized structure of TaGeAs2Se.

Output
energy relative to the elements, uncorrected = 1.178 eV/atom
E = -28.0479 eV/atom
symmetry = P4/mmm, No. 123

abc: 4.696 4.696 4.818
angles: 90.00 90.00 90.00
Last column: magnetic moment on the atom in μB.
Sites, in units of the cell vectors:
Ta: 0.500 0.500 0.500  1.43
As: 0.000 0.500 0.000  -0.13
As: 0.500 0.000 0.000  -0.13
Se: 0.000 0.000 0.500  -0.09
Ge: 0.000 0.000 0.000  -0.01


[12]
DFT (SCAN) results for a PBEsol-optimized structure of SiGeAs2.

Output
energy relative to the elements, uncorrected = 0.534 eV/atom
distance to the lowest polymorph of the same formula = 1.28 eV per formula unit
E = -16.8367 eV/atom
symmetry = Fm-3m, No. 225

abc: 4.610 4.610 4.610
angles: 60.00 60.00 60.00
Sites, in units of the cell vectors:
As: 0.750 0.750 0.750
As: 0.250 0.250 0.250
Si: 0.000 0.000 0.000
Ge: 0.500 0.500 0.500


[13]
DFT (SCAN) results for a PBEsol-optimized structure of SiGeAs2.

Output
energy relative to the elements, uncorrected = 0.215 eV/atom
distance to the lowest polymorph of the same formula = 0.00 eV per formula unit
E = -17.1566 eV/atom
symmetry = I-42d, No. 122

abc: 6.363 6.223 6.363
angles: 59.25 90.00 120.75
Sites, in units of the cell vectors:
As: 0.154 0.750 0.875
As: 0.596 0.750 0.375
As: 0.375 0.250 0.154
As: 0.875 0.250 0.596
Si: 0.500 0.000 0.500
Si: 0.250 0.500 0.250
Ge: 0.000 0.000 0.000
Ge: 0.750 0.500 0.750


[14]
DFT (SCAN) results for a PBEsol-optimized structure of SnGeAs3.

Output
E = -22.4105 eV/atom
symmetry = Pm-3m, No. 221
formation enthalpy at 0 K = 0.71 eV/atom

abc: 4.899 4.899 4.899
angles: 90.00 90.00 90.00
Sites, in units of the cell vectors:
As: 0.000 0.500 0.000
As: 0.000 0.000 0.500
As: 0.500 0.000 0.000
Sn: 0.500 0.500 0.500
Ge: 0.000 0.000 0.000


[15]
DFT (SCAN) results for a PBEsol-optimized structure of Sr4GeAs4.

Output
E = -22.1337 eV/atom
symmetry = P-43n, No. 218
formation enthalpy at 0 K = -1.14 eV/atom

abc: 12.727 12.727 12.727
angles: 90.00 90.00 90.00
Sites, in units of the cell vectors:
Sr: 0.598 0.857 0.369
Sr: 0.143 0.631 0.598
Sr: 0.369 0.598 0.857
Sr: 0.857 0.857 0.143
Sr: 0.098 0.131 0.643
Sr: 0.131 0.643 0.098
Sr: 0.357 0.643 0.357
Sr: 0.902 0.131 0.357
Sr: 0.857 0.143 0.857
Sr: 0.357 0.098 0.869
Sr: 0.643 0.357 0.357
Sr: 0.631 0.402 0.857
Sr: 0.143 0.369 0.402
Sr: 0.402 0.143 0.369
Sr: 0.357 0.357 0.643
Sr: 0.643 0.902 0.869
Sr: 0.631 0.598 0.143
Sr: 0.098 0.869 0.357
Sr: 0.869 0.643 0.902
Sr: 0.857 0.631 0.402
Sr: 0.143 0.143 0.143
Sr: 0.598 0.143 0.631
Sr: 0.643 0.098 0.131
Sr: 0.857 0.369 0.598
Sr: 0.643 0.643 0.643
Sr: 0.869 0.357 0.098
Sr: 0.902 0.869 0.643
Sr: 0.357 0.902 0.131
Sr: 0.402 0.857 0.631
Sr: 0.131 0.357 0.902
Sr: 0.369 0.402 0.143
Sr: 0.143 0.857 0.857
As: 0.889 0.889 0.889
As: 0.889 0.111 0.111
As: 0.145 0.120 0.391
As: 0.891 0.380 0.355
As: 0.855 0.120 0.609
As: 0.620 0.645 0.891
As: 0.891 0.620 0.645
As: 0.645 0.891 0.620
As: 0.611 0.611 0.389
As: 0.109 0.380 0.645
As: 0.391 0.855 0.880
As: 0.111 0.111 0.889
As: 0.389 0.611 0.611
As: 0.111 0.889 0.111
As: 0.355 0.109 0.620
As: 0.109 0.620 0.355
As: 0.620 0.355 0.109
As: 0.380 0.645 0.109
As: 0.391 0.145 0.120
As: 0.380 0.355 0.891
As: 0.855 0.880 0.391
As: 0.355 0.891 0.380
As: 0.880 0.609 0.145
As: 0.609 0.145 0.880
As: 0.880 0.391 0.855
As: 0.145 0.880 0.609
As: 0.609 0.855 0.120
As: 0.120 0.609 0.855
As: 0.645 0.109 0.380
As: 0.120 0.391 0.145
As: 0.611 0.389 0.611
As: 0.389 0.389 0.389
Ge: 0.500 0.500 0.500
Ge: 0.000 0.500 0.250
Ge: 0.000 0.000 0.000
Ge: 0.500 0.250 0.000
Ge: 0.500 0.750 0.000
Ge: 0.250 0.000 0.500
Ge: 0.000 0.500 0.750
Ge: 0.750 0.000 0.500


[16]
DFT (SCAN) results for a PBEsol-optimized structure of Sr3Ge2As4.

Output
E = -21.5584 eV/atom
symmetry = P2_1/c, No. 14
formation enthalpy at 0 K = -0.92 eV/atom

abc: 7.435 7.588 18.425
angles: 90.00 90.00 111.81
Sites, in units of the cell vectors:
Sr: 0.503 0.261 0.060
Sr: 0.997 0.739 0.560
Sr: 0.988 0.745 0.062
Sr: 0.988 0.782 0.316
Sr: 0.488 0.745 0.438
Sr: 0.003 0.261 0.440
Sr: 0.488 0.782 0.184
Sr: 0.512 0.218 0.816
Sr: 0.512 0.255 0.562
Sr: 0.497 0.739 0.940
Sr: 0.012 0.255 0.938
Sr: 0.012 0.218 0.684
Ge: 0.472 0.789 0.628
Ge: 0.086 0.686 0.760
Ge: 0.528 0.211 0.372
Ge: 0.414 0.314 0.260
Ge: 0.914 0.314 0.240
Ge: 0.586 0.686 0.740
Ge: 0.028 0.211 0.128
Ge: 0.972 0.789 0.872
As: 0.280 0.962 0.686
As: 0.220 0.038 0.186
As: 0.720 0.038 0.314
As: 0.242 0.497 0.068
As: 0.780 0.962 0.814
As: 0.224 0.503 0.302
As: 0.758 0.503 0.932
As: 0.258 0.503 0.568
As: 0.749 0.993 0.560
As: 0.249 0.993 0.940
As: 0.742 0.497 0.432
As: 0.724 0.503 0.198
As: 0.776 0.497 0.698
As: 0.751 0.007 0.060
As: 0.276 0.497 0.802
As: 0.251 0.007 0.440


[17]
DFT (SCAN) results for a PBEsol-optimized structure of SrZnGe2As.

Output
E = -18.5151 eV/atom
symmetry = P4/mmm, No. 123
formation enthalpy at 0 K = 0.32 eV/atom

abc: 4.961 4.961 5.720
angles: 90.00 90.00 90.00
Sites, in units of the cell vectors:
As: 0.000 0.000 0.000
Ge: 0.000 0.500 0.000
Ge: 0.500 0.000 0.000
Zn: 0.500 0.500 0.500
Sr: 0.000 0.000 0.500


[18]
DFT (SCAN) results for a PBEsol-optimized structure of TcGeAs.

Output
E = -25.0858 eV/atom
symmetry = Cm, No. 8
formation enthalpy at 0 K = -0.31 eV/atom

abc: 3.151 4.758 6.882
angles: 79.55 76.77 70.67
Sites, in units of the cell vectors:
Tc: 0.573 0.193 0.661
Tc: 0.266 0.406 0.062
Ge: 0.822 0.613 0.744
Ge: 0.279 0.049 0.394
As: 0.021 0.996 0.961
As: 0.570 0.533 0.326


[19]
DFT (SCAN) results for a PBEsol-optimized structure of Ge4Te7As2.

Output
energy relative to the elements, uncorrected = -0.022 eV/atom
E = -29.0597 eV/atom
symmetry = R-3m, No. 166

abc: 4.126 4.126 23.209
angles: 84.90 84.90 60.00
Sites, in units of the cell vectors:
Ge: 0.692 0.692 0.925
Ge: 0.308 0.308 0.075
Ge: 0.075 0.075 0.775
Ge: 0.925 0.925 0.225
As: 0.541 0.541 0.377
As: 0.459 0.459 0.623
Te: 0.617 0.617 0.149
Te: 0.000 0.000 0.000
Te: 0.148 0.148 0.557
Te: 0.852 0.852 0.443
Te: 0.234 0.234 0.298
Te: 0.383 0.383 0.851
Te: 0.766 0.766 0.702


[20]
DFT (SCAN) results for a PBEsol-optimized structure of GeTe7As4.

Output
energy relative to the elements, uncorrected = -0.001 eV/atom
E = -30.0518 eV/atom
symmetry = P-3m1, No. 164

abc: 4.070 4.070 22.412
angles: 90.00 90.00 120.00
Sites, in units of the cell vectors:
As: 0.667 0.333 0.080
As: 0.333 0.667 0.920
As: 0.667 0.333 0.341
As: 0.333 0.667 0.659
Te: 0.000 0.000 0.271
Te: 0.667 0.333 0.849
Te: 0.333 0.667 0.151
Te: 0.000 0.000 0.729
Te: 0.000 0.000 0.000
Te: 0.667 0.333 0.578
Te: 0.333 0.667 0.422
Ge: 0.000 0.000 0.500